Record 1
CeNi2As2 | GGA-PBE | optimized geometry

Properties
The value obtained for the formation energy is -0.748 eV/atom. As for the space group: Fddd (70). For the final energy, the calculation gives -61.1 eV/cell.

POSCAR file:
```
CeNi2As2
1.0
0.000 4.992 6.048
2.879 0.000 6.048
2.879 4.992 0.000
Ce Ni As
2 4 4
direct
0.125 0.125 0.125
0.875 0.875 0.875
0.270 0.270 0.480
0.480 0.480 0.270
0.520 0.520 0.730
0.730 0.730 0.520
0.176 0.574 0.176
0.426 0.824 0.426
0.574 0.176 0.574
0.824 0.426 0.824
```

=====

Record 2
Ce2Ni3As | GGA-PBE | optimized geometry

Properties
The value obtained for the formation energy is -0.624 eV/atom. As for the space group: Fmmm (69). For the final energy, the calculation gives -75.2 eV/cell.

POSCAR file:
```
Ce2Ni3As
1.0
0.000 4.220 7.139
3.648 0.000 7.139
3.648 4.220 0.000
Ce Ni As
4 6 2
direct
0.238 0.762 0.762
0.250 0.250 0.250
0.750 0.750 0.750
0.762 0.238 0.238
0.166 0.166 0.834
0.168 0.661 0.339
0.339 0.832 0.168
0.661 0.168 0.832
0.832 0.339 0.661
0.834 0.834 0.166
0.334 0.334 0.666
0.666 0.666 0.334
```

=====

Record 3
Ce3Ni2As3 | GGA-PBE | optimized geometry

Properties
The value obtained for the formation energy is -0.992 eV/atom. As for the space group: Cmcm (63). For the final energy, the calculation gives -102.5 eV/cell.

POSCAR file:
```
Ce3Ni2As3
1.0
2.065 -5.423 0.000
2.065 5.423 0.000
0.000 0.000 14.340
Ce Ni As
6 4 6
direct
0.074 0.926 0.606
0.074 0.926 0.894
0.360 0.640 0.750
0.640 0.360 0.250
0.926 0.074 0.106
0.926 0.074 0.394
0.227 0.773 0.100
0.227 0.773 0.400
0.773 0.227 0.600
0.773 0.227 0.900
0.349 0.651 0.250
0.363 0.637 0.547
0.363 0.637 0.953
0.637 0.363 0.047
0.637 0.363 0.453
0.651 0.349 0.750
```